Record 1
{
  "formula": "Nb5TlO8",
  "functional": "PBE",
  "state": "optimized geometry",
  "lattice_angstrom": [[-2.582, -0.643, 1.396], [-3.680, -1.283, -7.396], [4.227, -6.424, 1.623]],
  "species": ["O", "Nb", "O", "O", "O", "Nb", "Nb", "Tl", "O", "O", "Nb", "O", "Nb", "O"],
  "fractional_positions": [[0.080, 0.818, 0.161], [0.011, 0.997, 0.022], [0.851, 0.528, 0.702], [0.156, 0.484, 0.312], [0.910, 0.134, 0.820], [0.294, 0.641, 0.587], [0.320, 0.012, 0.640], [0.505, 0.501, 0.009], [0.582, 0.167, 0.164], [0.759, 0.818, 0.519], [0.712, 0.365, 0.423], [0.415, 0.864, 0.831], [0.662, 0.985, 0.323], [0.243, 0.187, 0.486]],
  "spacegroup": "Cm",
  "raw_formation_energy_mev_per_atom": -1955,
  "total_energy_ev_per_atom": -8.554
}

Record 2
{
  "formula": "Mg5CdAu",
  "functional": "PBE",
  "state": "optimized geometry",
  "lattice_angstrom": [[6.068, 0.027, 0.609], [1.951, 5.746, 0.609], [3.565, 2.566, 9.850]],
  "species": ["Mg", "Mg", "Mg", "Mg", "Mg", "Mg", "Mg", "Mg", "Cd", "Mg", "Mg", "Au", "Cd", "Au"],
  "fractional_positions": [[0.495, 0.748, 0.013], [0.252, 0.505, 0.487], [0.748, 0.495, 0.513], [0.067, 0.933, 0.250], [0.933, 0.067, 0.750], [0.871, 0.585, 0.757], [0.415, 0.129, 0.743], [0.505, 0.252, 0.987], [0.653, 0.347, 0.250], [0.129, 0.415, 0.243], [0.585, 0.871, 0.257], [0.000, 0.000, 0.000], [0.347, 0.653, 0.750], [0.000, 0.000, 0.500]],
  "spacegroup": "C2/c",
  "total_energy_ev_per_atom": -1.795,
  "formation_enthalpy_0k_kj_per_mol_atoms": -5.50
}

Record 3
{
  "formula": "PrNd2",
  "functional": "PBE",
  "state": "optimized geometry",
  "lattice_angstrom": [[3.706, 0.000, 0.000], [1.853, 3.209, 0.000], [1.853, 1.070, 18.001]],
  "species": ["Pr", "Nd", "Nd", "Nd", "Pr", "Nd"],
  "fractional_positions": [[0.917, 0.917, 0.250], [0.806, 0.806, 0.583], [0.194, 0.194, 0.417], [0.639, 0.639, 0.083], [0.083, 0.083, 0.750], [0.361, 0.361, 0.917]],
  "spacegroup": "R-3m",
  "total_energy_ev_per_atom": -4.762,
  "formation_enthalpy_0k_kj_per_mol_atoms": 0.95
}

Record 4
{
  "formula": "PuGeF5",
  "functional": "PBE",
  "state": "optimized geometry",
  "lattice_angstrom": [[-1.381, -3.286, -4.655], [5.572, -2.119, 1.749], [-6.465, -2.721, 5.587]],
  "species": ["F", "F", "F", "Ge", "Pu", "F", "F", "F", "F", "Pu", "F", "Ge", "F", "F"],
  "fractional_positions": [[0.244, 0.832, 0.101], [0.673, 0.569, 0.383], [0.693, 0.615, 0.909], [0.515, 0.277, 0.752], [0.999, 0.501, 0.499], [0.754, 0.170, 0.897], [0.065, 0.833, 0.743], [0.748, 0.289, 0.619], [0.305, 0.387, 0.090], [0.999, 0.001, 0.999], [0.326, 0.434, 0.616], [0.483, 0.725, 0.246], [0.934, 0.170, 0.255], [0.251, 0.713, 0.380]],
  "spacegroup": "P-1",
  "raw_formation_energy_mev_per_atom": -2925,
  "total_energy_ev_per_atom": -6.968
}

Record 5
{
  "formula": "HoHgSb",
  "functional": "PBE",
  "state": "optimized geometry",
  "lattice_angstrom": [[4.178, 0.000, 0.000], [0.000, 4.178, 0.000], [-2.089, -2.089, 4.634]],
  "species": ["Hg", "Sb", "Ho"],
  "fractional_positions": [[0.616, 0.616, 0.232], [0.941, 0.941, 0.881], [0.293, 0.293, 0.587]],
  "spacegroup": "I4mm",
  "raw_formation_energy_mev_per_atom": -468,
  "total_energy_ev_per_atom": -3.469
}

Record 6
{
  "formula": "HgIr2C",
  "functional": "PBE",
  "state": "optimized geometry",
  "lattice_angstrom": [[0.000, 3.091, 3.091], [3.091, 0.000, 3.091], [3.091, 3.091, 0.000]],
  "species": ["Ir", "Hg", "Ir", "C"],
  "fractional_positions": [[0.750, 0.750, 0.750], [0.500, 0.500, 0.500], [0.250, 0.250, 0.250], [0.000, 0.000, 0.000]],
  "spacegroup": "Fm-3m",
  "total_energy_ev_per_atom": -4.995,
  "formation_enthalpy_0k_kj_per_mol_atoms": 175.35
}